# 1
Here is an optimized crystal structure of CdRe2Pb from the Alexandria database. Energies are from GGA-PBE.

abc: 4.9494 4.9494 4.9494
angles: 127.95 127.95 76.70
Atoms (fractional coordinates):
Cd1 0.0000 0.0000 0.0000
Re1 0.5000 0.5000 0.0000
Re2 0.7500 0.2500 0.5000
Pb1 0.2500 0.7500 0.5000

Its crystal system is tetragonal. The space group is I-4m2. As for the formation energy: 102 kJ/mol of atoms.



# 2
Here is an optimized crystal structure of LiP2Au from the Alexandria database. Energies are from GGA-PBE.

abc: 4.8126 4.8126 5.6533
angles: 117.04 117.04 38.64
Atoms (fractional coordinates):
Li1 0.0000 0.0000 0.0000
P1 0.2338 0.2338 0.8439
P2 0.7662 0.7662 0.1561
Au1 0.5000 0.5000 0.5000

Its crystal system is monoclinic. The space group is C2/m. As for the formation energy: -10 kJ/mol of atoms.



# 3
Here is an optimized crystal structure of Rb3Th3FeSe8 from the Alexandria database. Energies are from GGA-PBE.

abc: 9.5509 9.5509 9.5509
angles: 52.49 52.49 52.49
Atoms (fractional coordinates):
Rb1 0.0000 0.5000 0.5000
Rb2 0.5000 0.0000 0.5000
Rb3 0.5000 0.5000 0.0000
Th1 0.0000 0.0000 0.5000
Th2 0.0000 0.5000 0.0000
Th3 0.5000 0.0000 0.0000
Fe1 0.5000 0.5000 0.5000
Se1 0.2359 0.2359 0.2359
Se2 0.2397 0.7239 0.7239
Se3 0.2761 0.2761 0.7603
Se4 0.2761 0.7603 0.2761
Se5 0.7239 0.2397 0.7239
Se6 0.7239 0.7239 0.2397
Se7 0.7603 0.2761 0.2761
Se8 0.7641 0.7641 0.7641

Its crystal system is trigonal. The space group is R-3m. Its raw formation energy is -1345 meV per atom.



# 4
Here is an optimized crystal structure of SrCuSe from the Alexandria database. Energies are from GGA-PBE.

abc: 5.3635 5.3635 5.3635
angles: 133.40 133.40 68.03
Atoms (fractional coordinates):
Sr1 0.0000 0.0000 0.0000
Cu1 0.3480 0.3480 0.0000
Se1 0.6161 0.6161 0.0000

Its crystal system is tetragonal. The space group is I4mm. Its raw formation energy is -575 meV per atom.



# 5
Here is an optimized crystal structure of Mg5In from the Alexandria database. Energies are from GGA-PBE.

abc: 5.2156 8.1460 8.1460
angles: 23.56 90.00 90.00
Atoms (fractional coordinates):
Mg1 0.0000 0.0000 0.0000
Mg2 0.0000 0.3306 0.3306
Mg3 0.5000 0.1167 0.1167
Mg4 0.5000 0.4487 0.4487
Mg5 0.5000 0.7815 0.7815
In1 0.0000 0.6657 0.6657

Its crystal system is orthorhombic. The space group is Amm2. As for the formation energy: -4 kJ/mol of atoms.



# 6
Here is an optimized crystal structure of SiSe3F from the Alexandria database. Energies are from GGA-PBE.

abc: 4.7680 4.7680 4.7680
angles: 90.00 90.00 90.00
Atoms (fractional coordinates):
Si1 0.0000 0.0000 0.0000
Se1 0.0000 0.0000 0.5000
Se2 0.0000 0.5000 0.0000
Se3 0.5000 0.0000 0.0000
F1 0.5000 0.5000 0.5000

Its crystal system is cubic. The space group is Pm-3m. Its raw formation energy is 266 meV per atom.